BaGdFe2O5 (PBE+U, relaxed); total energy = -8.054 eV/atom; V = 122.2 Å³ per cell
1.0
-3.449 1.896 -0.702
-1.590 -3.401 -1.375
-2.389 -1.734 7.053
Ba Gd Fe O
1 1 2 5
Direct
0.000 0.000 0.000 Ba
0.000 0.000 0.500 Gd
0.500 0.500 0.266 Fe
0.500 0.500 0.734 Fe
0.500 0.000 0.311 O
0.500 0.000 0.689 O
0.000 0.500 0.311 O
0.000 0.500 0.689 O
0.500 0.500 0.000 O